Record 1
AcCuAs2Au, optimized geometry, DFT GGA-PBE; formation energy = -0.51 eV/atom; spin magnetization = 0.000 Bohr magnetons per cell
1.0
7.5168 0.0000 0.0000
0.0000 6.0829 0.0000
0.0000 -3.0415 5.1789
Ac Cu As Au
2 2 4 2
Cartesian
2.2247 3.0415 2.5895
5.2920 0.0000 2.5895
3.7584 4.5622 0.0000
3.7584 1.5207 0.0000
5.2845 3.0415 4.0356
5.2845 3.0415 1.1433
2.2323 0.0000 4.0356
2.2323 0.0000 1.1433
0.0000 0.0000 0.0000
0.0000 3.0415 0.0000



Record 2
LaTh2Te6, optimized geometry, DFT GGA-PBE; formation energy from raw total energies = -9.53 eV per formula unit; spin magnetization = 0.000 Bohr magnetons per cell
1.0
-6.3264 2.6281 -2.9014
0.5844 -4.8181 -5.6385
-7.3201 -9.4982 7.3574
La Th Te
2 4 12
Cartesian
-2.8710 -1.0950 -4.2700
-3.6600 -4.7491 3.6787
-5.3174 -4.2693 -1.8111
-7.7447 -7.4188 0.6286
-1.2136 -1.5748 1.2198
-6.1064 -7.9234 6.1376
-5.3006 -3.1796 -4.7334
-10.0929 -9.3977 0.0833
-7.6562 -6.2732 -2.2647
-4.9721 1.1690 -3.4378
-7.3195 -1.9927 -1.0487
-9.8473 -5.2727 1.4920
-3.2147 -6.4154 -2.6745
-5.7426 -9.6954 -0.1337
-0.7698 -3.3589 -5.1021
-5.4058 -5.4149 1.0823
-2.9692 -2.2904 -1.2658
-7.7614 -8.5085 3.5509